[1]
Here is crystalline Sn2Au3 at its relaxed geometry from the Alexandria database. Energies are from PBE.

Computed properties:
Energy, eV/atom: -3.680
DOS at the Fermi energy, states/eV per cell: 3.595
SG: Fdd2

a = 7.9338 Å, b = 5.5900 Å, c = 8.3443 Å
α = 66.01°, β = 40.07°, γ = 73.92°
With the nearest neighbours (Å) after each atom.
Fractional coordinates of all 10 atoms:
Sn 0.2287 0.7713 0.3579  6 Au 2.87-3.06
Sn 0.6079 0.8921 0.4787  6 Au 2.87-3.06
Sn 0.7713 0.2287 0.6421  6 Au 2.87-3.06
Sn 0.8921 0.6079 0.0213  6 Au 2.87-3.06
Au 0.1693 0.9183 0.0323  3 Sn 2.87-3.02, 5 Au 2.88-3.03
Au 0.2177 0.3699 0.0807  3 Sn 2.87-3.02, 5 Au 2.88-3.03
Au 0.3699 0.2177 0.3317  3 Sn 2.87-3.02, 5 Au 2.88-3.03
Au 0.4238 0.4238 0.5762  6 Sn 2.87-3.06, 4 Au 3.03
Au 0.6738 0.6738 0.8262  6 Sn 2.87-3.06, 4 Au 3.03
Au 0.9183 0.1693 0.8801  3 Sn 2.87-3.02, 5 Au 2.88-3.03

---

[2]
Here is crystalline Sn3Au at its relaxed geometry from the Alexandria database. Energies are from PBE.

Computed properties:
DOS at the Fermi energy, states/eV per cell: 1.925
SG: Pm-3m
Relative energy among the computed polymorphs, meV/atom: 98

a = 4.6297 Å, b = 4.6297 Å, c = 4.6297 Å
α = 90.00°, β = 90.00°, γ = 90.00°
With the nearest neighbours (Å) after each atom.
Fractional coordinates of all 4 atoms:
Sn 0.0000 0.0000 0.5000  8 Sn 3.27, 4 Au 3.27
Sn 0.0000 0.5000 0.0000  8 Sn 3.27, 4 Au 3.27
Sn 0.5000 0.0000 0.0000  8 Sn 3.27, 4 Au 3.27
Au 0.5000 0.5000 0.5000  12 Sn 3.27

---

[3]
Here is crystalline Sn3Au at its relaxed geometry from the Alexandria database. Energies are from PBE.

Computed properties:
DOS at the Fermi energy, states/eV per cell: 2.866
SG: Fm-3m
Relative energy among the computed polymorphs, meV/atom: 111

a = 7.3594 Å, b = 7.3594 Å, c = 7.3594 Å
α = 90.00°, β = 90.00°, γ = 90.00°
With the nearest neighbours (Å) after each atom.
Fractional coordinates of all 16 atoms:
Sn 0.0000 0.0000 0.0000  8 Sn 3.19
Sn 0.0000 0.5000 0.5000  8 Sn 3.19
Sn 0.2500 0.2500 0.2500  4 Sn 3.19, 4 Au 3.19
Sn 0.2500 0.2500 0.7500  4 Sn 3.19, 4 Au 3.19
Sn 0.2500 0.7500 0.2500  4 Sn 3.19, 4 Au 3.19
Sn 0.2500 0.7500 0.7500  4 Sn 3.19, 4 Au 3.19
Sn 0.5000 0.0000 0.5000  8 Sn 3.19
Sn 0.5000 0.5000 0.0000  8 Sn 3.19
Sn 0.7500 0.2500 0.2500  4 Sn 3.19, 4 Au 3.19
Sn 0.7500 0.2500 0.7500  4 Sn 3.19, 4 Au 3.19
Sn 0.7500 0.7500 0.2500  4 Sn 3.19, 4 Au 3.19
Sn 0.7500 0.7500 0.7500  4 Sn 3.19, 4 Au 3.19
Au 0.0000 0.0000 0.5000  8 Sn 3.19
Au 0.0000 0.5000 0.0000  8 Sn 3.19
Au 0.5000 0.0000 0.0000  8 Sn 3.19
Au 0.5000 0.5000 0.5000  8 Sn 3.19